ZrMo after structural relaxation, computed with PBE.

Lattice parameters (Å, degrees): 7.8422 7.8422 4.7363 90.00 90.00 120.00
Atoms (fractional coordinates):
Zr 0.8349 0.1659 0.2500
Zr 0.6690 0.8349 0.7500
Zr 0.8341 0.6690 0.2500
Zr 0.1651 0.8341 0.7500
Zr 0.3310 0.1651 0.2500
Zr 0.1659 0.3310 0.7500
Mo 0.1217 0.5423 0.2500
Mo 0.5793 0.1217 0.7500
Mo 0.4577 0.5793 0.2500
Mo 0.8783 0.4577 0.7500
Mo 0.4207 0.8783 0.2500
Mo 0.5423 0.4207 0.7500

## Properties
- magnetization (μB per formula unit) = 0.00
- DFT total energy (eV/cell) = -112.97
- volume (Å³ per cell) = 252

ScNbO after structural relaxation, computed with PBE.

Lattice parameters (Å, degrees): 3.0191 3.0191 22.0895 90.00 90.00 120.00
Each line ends with the local moment (μB).
Atoms (fractional coordinates):
Sc 0.6667 0.3333 0.0608  0.20
Sc 0.3333 0.6667 0.9392  0.20
Sc 0.3333 0.6667 0.8049  0.00
Sc 0.6667 0.3333 0.1951  0.00
O 0.6667 0.3333 0.3770  0.00
O 0.6667 0.3333 0.8720  0.00
O 0.3333 0.6667 0.1280  0.00
O 0.3333 0.6667 0.6230  0.00
Nb 0.6667 0.3333 0.5563  0.00
Nb 0.3333 0.6667 0.4437  0.00
Nb 0.3333 0.6667 0.3075  0.01
Nb 0.6667 0.3333 0.6925  0.01

## Properties
- magnetization (μB per formula unit) = 0.16
- DFT total energy (eV/cell) = -102.40
- ΔE_f (raw) (eV/atom) = -1.413
- volume (Å³ per cell) = 174

Pu2PaH after structural relaxation, computed with PBE.

Lattice parameters (Å, degrees): 2.8897 2.8897 7.6584 90.00 90.00 90.00
Atoms (fractional coordinates):
H 0.5000 0.5000 0.0000
Pa 0.5000 0.5000 0.5000
Pu 0.0000 0.0000 0.8484
Pu 0.0000 0.0000 0.1516

## Properties
- magnetization (μB per formula unit) = 0.01
- DFT total energy (eV/cell) = -39.62
- volume (Å³ per cell) = 64